# HoH2F6

A relaxed HoH2F6 crystal (PBE, the Alexandria database).

size of the total moment: 1.080 μB/f.u.
energy: -4.974 eV per atom
crystal system: monoclinic
space group: No. 15
calculated density: 4.58 g/cm3

Cell and atoms, written as CIF:
```
data_HoH2F6
_space_group_name_H-M_alt 'P 1'
_space_group_IT_number 1
_space_group_name_Hall 'P 1'
_cell_length_a 6.2214
_cell_length_b 6.2214
_cell_length_c 6.0642
_cell_angle_alpha 110.50
_cell_angle_beta 110.50
_cell_angle_gamma 75.75
loop_
_atom_site_label
_atom_site_type_symbol
_atom_site_fract_x
_atom_site_fract_y
_atom_site_fract_z
Ho1 Ho 0.2027 0.7973 0.7500
Ho2 Ho 0.7973 0.2027 0.2500
H1 H 0.3044 0.4128 0.9814
H2 H 0.4128 0.3044 0.4814
H3 H 0.5872 0.6956 0.5186
H4 H 0.6956 0.5872 0.0186
F1 F 0.0547 0.1410 0.6254
F2 F 0.1410 0.0547 0.1254
F3 F 0.1907 0.5688 0.9616
F4 F 0.2348 0.4441 0.5071
F5 F 0.4312 0.8093 0.5384
F6 F 0.4441 0.2348 0.0071
F7 F 0.5559 0.7652 0.9929
F8 F 0.5688 0.1907 0.4616
F9 F 0.7652 0.5559 0.4929
F10 F 0.8093 0.4312 0.0384
F11 F 0.8590 0.9453 0.8746
F12 F 0.9453 0.8590 0.3746
```